# 1
Density functional theory data (PBE) for BC3 after structural relaxation.

## Properties
Spin magnetization ... 0.00 μB/cell
Final energy ... -99.8 eV per cell

a = 2.537 Å, b = 2.498 Å, c = 11.746 Å
α = 90.00°, β = 90.00°, γ = 90.00°
Positions (direct):
B1 0.500 0.500 0.820
B2 0.500 0.000 0.936
B3 0.500 0.500 0.492
C1 0.500 0.000 0.583
C2 0.000 0.000 0.658
C3 0.000 0.500 0.734
C4 0.500 0.500 0.175
C5 0.500 0.000 0.250
C6 0.000 0.000 0.329
C7 0.000 0.500 0.403
C8 0.000 0.000 0.023
C9 0.000 0.500 0.097

=====

# 2
Density functional theory data (PBE) for ErTaC after structural relaxation.

## Properties
Spin magnetization ... 0.08 μB/cell
Final energy ... -26.5 eV per cell

a = 5.485 Å, b = 3.274 Å, c = 3.274 Å
α = 120.00°, β = 90.00°, γ = 90.00°
Positions (direct):
C1 0.303 0.333 0.667
Er1 0.588 0.667 0.333
Ta1 0.109 0.000 0.000

=====

# 3
Density functional theory data (PBE) for BeTe4P2 after structural relaxation.

## Properties
Spin magnetization ... 0.00 μB/cell
Energy relative to the elements, uncorrected ... 401.6 meV per atom

a = 5.135 Å, b = 5.135 Å, c = 8.175 Å
α = 71.70°, β = 71.70°, γ = 90.00°
Positions (direct):
P1 0.588 0.588 0.824
P2 0.412 0.412 0.176
Te1 0.754 0.754 0.493
Te2 0.246 0.246 0.507
Te3 0.000 0.500 0.000
Te4 0.500 0.000 0.000
Be1 0.000 0.000 0.000

=====

# 4
Density functional theory data (PBE) for LiCa3 after structural relaxation.

## Properties
Spin magnetization ... 0.00 μB/cell
Final energy ... -14.9 eV per cell

a = 3.777 Å, b = 7.005 Å, c = 11.859 Å
α = 107.18°, β = 90.00°, γ = 90.00°
Positions (direct):
Li1 0.250 0.331 0.663
Li2 0.750 0.669 0.337
Ca1 0.250 0.824 0.144
Ca2 0.750 0.176 0.856
Ca3 0.750 0.208 0.415
Ca4 0.250 0.792 0.585
Ca5 0.750 0.679 0.856
Ca6 0.250 0.321 0.144

=====

# 5
Density functional theory data (PBE) for TbTiIrPd after structural relaxation.

## Properties
Spin magnetization ... 0.00 μB/cell
Final energy ... -29.1 eV per cell

a = 4.688 Å, b = 4.688 Å, c = 4.688 Å
α = 60.00°, β = 60.00°, γ = 60.00°
Positions (direct):
Ir1 0.750 0.750 0.750
Tb1 0.500 0.500 0.500
Pd1 0.250 0.250 0.250
Ti1 0.000 0.000 0.000

=====

# 6
Density functional theory data (PBE) for Ti3NbN after structural relaxation.

## Properties
Spin magnetization ... 0.00 μB/cell
Energy relative to the elements, uncorrected ... -731.6 meV per atom

a = 4.179 Å, b = 4.179 Å, c = 4.179 Å
α = 90.00°, β = 90.00°, γ = 90.00°
Positions (direct):
Nb1 0.500 0.500 0.500
N1 0.000 0.000 0.000
Ti1 0.000 0.500 0.000
Ti2 0.000 0.000 0.500
Ti3 0.500 0.000 0.000

=====

Question: The highest spin magnetization belongs to which entry?
Answer: ErTaC

=====

Question: Number 1 is which compound?
Answer: BC3

=====

Please write out number 4 again, unchanged.
Density functional theory data (PBE) for LiCa3 after structural relaxation.

## Properties
Spin magnetization ... 0.00 μB/cell
Final energy ... -14.9 eV per cell

a = 3.777 Å, b = 7.005 Å, c = 11.859 Å
α = 107.18°, β = 90.00°, γ = 90.00°
Positions (direct):
Li1 0.250 0.331 0.663
Li2 0.750 0.669 0.337
Ca1 0.250 0.824 0.144
Ca2 0.750 0.176 0.856
Ca3 0.750 0.208 0.415
Ca4 0.250 0.792 0.585
Ca5 0.750 0.679 0.856
Ca6 0.250 0.321 0.144

=====

Repeat the fourth record exactly.
Density functional theory data (PBE) for LiCa3 after structural relaxation.

## Properties
Spin magnetization ... 0.00 μB/cell
Final energy ... -14.9 eV per cell

a = 3.777 Å, b = 7.005 Å, c = 11.859 Å
α = 107.18°, β = 90.00°, γ = 90.00°
Positions (direct):
Li1 0.250 0.331 0.663
Li2 0.750 0.669 0.337
Ca1 0.250 0.824 0.144
Ca2 0.750 0.176 0.856
Ca3 0.750 0.208 0.415
Ca4 0.250 0.792 0.585
Ca5 0.750 0.679 0.856
Ca6 0.250 0.321 0.144